No. 1
{"formula": "Tm3CI3", "functional": "PBE", "state": "relaxed", "lattice": [[3.336, 1.926, 11.252], [-3.336, 1.926, 11.252], [0.000, -3.852, 11.252]], "species": ["Tm", "Tm", "Tm", "Tm", "Tm", "Tm", "C", "C", "I", "I", "I", "I", "I", "I"], "frac_coords": [[0.039, 0.395, 0.683], [0.317, 0.961, 0.605], [0.395, 0.683, 0.039], [0.605, 0.317, 0.961], [0.683, 0.039, 0.395], [0.961, 0.605, 0.317], [0.333, 0.333, 0.333], [0.667, 0.667, 0.667], [0.101, 0.774, 0.428], [0.226, 0.572, 0.899], [0.428, 0.101, 0.774], [0.572, 0.899, 0.226], [0.774, 0.428, 0.101], [0.899, 0.226, 0.572]], "e_tot_ev_per_atom": -4.84, "total_magnetization_mub_per_cell": 0.00, "e_form_raw_ev_per_fu": -6.6}

No. 2
{"formula": "MnTeOs2", "functional": "PBE", "state": "relaxed", "lattice": [[2.926, 0.000, 0.000], [0.000, 4.581, 0.000], [-0.137, 0.000, 4.857]], "species": ["Mn", "Te", "Os", "Os"], "frac_coords": [[0.000, 0.000, 0.000], [0.500, 0.000, 0.500], [0.261, 0.500, 0.771], [0.739, 0.500, 0.229]], "e_tot_ev_per_atom": -7.96, "total_magnetization_mub_per_cell": 3.33, "e_form_raw_ev_per_fu": 2.9}

No. 3
{"formula": "KPa4Te6", "functional": "PBE", "state": "relaxed", "lattice": [[2.156, -7.294, 0.000], [2.156, 7.294, 0.000], [0.000, 0.000, 22.523]], "species": ["K", "K", "Pa", "Pa", "Pa", "Pa", "Pa", "Pa", "Pa", "Pa", "Te", "Te", "Te", "Te", "Te", "Te", "Te", "Te", "Te", "Te", "Te", "Te"], "frac_coords": [[0.166, 0.834, 0.750], [0.834, 0.166, 0.250], [0.097, 0.903, 0.119], [0.097, 0.903, 0.381], [0.357, 0.643, 0.032], [0.357, 0.643, 0.468], [0.643, 0.357, 0.532], [0.643, 0.357, 0.968], [0.903, 0.097, 0.619], [0.903, 0.097, 0.881], [0.000, 0.000, 0.000], [0.000, 0.000, 0.500], [0.146, 0.854, 0.250], [0.259, 0.741, 0.594], [0.259, 0.741, 0.906], [0.456, 0.544, 0.155], [0.456, 0.544, 0.345], [0.544, 0.456, 0.655], [0.544, 0.456, 0.845], [0.741, 0.259, 0.094], [0.741, 0.259, 0.406], [0.854, 0.146, 0.750]], "e_tot_ev_per_atom": -6.06, "total_magnetization_mub_per_cell": 6.14, "e_form_raw_ev_per_fu": -8.8}

No. 4
{"formula": "BePtPb2", "functional": "PBE", "state": "relaxed", "lattice": [[-2.943, 2.943, 6.306], [2.943, -2.943, 6.306], [2.943, 2.943, -6.306]], "species": ["Be", "Be", "Pt", "Pt", "Pb", "Pb", "Pb", "Pb"], "frac_coords": [[0.000, 0.000, 0.000], [0.750, 0.250, 0.500], [0.250, 0.750, 0.500], [0.500, 0.500, 0.000], [0.091, 0.625, 0.966], [0.375, 0.341, 0.466], [0.659, 0.125, 0.034], [0.875, 0.909, 0.534]], "e_tot_ev_per_atom": -3.78, "total_magnetization_mub_per_cell": 0.00, "formation_enthalpy_0k_kj_per_mol_atoms": 50.1}

No. 5
{"formula": "TbCdCuGe", "functional": "PBE", "state": "relaxed", "lattice": [[0.000, 3.417, 3.417], [3.417, 0.000, 3.417], [3.417, 3.417, 0.000]], "species": ["Tb", "Cd", "Cu", "Ge"], "frac_coords": [[0.000, 0.000, 0.000], [0.500, 0.500, 0.500], [0.750, 0.750, 0.750], [0.250, 0.250, 0.250]], "e_tot_ev_per_atom": -3.83, "total_magnetization_mub_per_cell": 0.00, "formation_enthalpy_0k_kj_per_mol_atoms": -25.4}

No. 6
{"formula": "Mn2ZnSi", "functional": "PBE", "state": "relaxed", "lattice": [[4.646, -1.330, 0.000], [4.646, 1.330, 0.000], [-1.492, 0.000, 4.081]], "species": ["Mn", "Mn", "Zn", "Si"], "frac_coords": [[0.000, 0.000, 0.000], [0.233, 0.233, 0.595], [0.482, 0.482, 0.488], [0.735, 0.735, 0.085]], "e_tot_ev_per_atom": -6.28, "total_magnetization_mub_per_cell": 4.58, "e_form_raw_ev_per_fu": -0.1}